Below is a geometry-optimized GdNiGe2 structure, with properties calculated at the PBE level.

```
data_GdNiGe2
_chemical_formula_sum 'Gd3 Ni3 Ge6'
_symmetry_space_group_name_H-M 'R -3 m'
_symmetry_Int_Tables_number 166
_symmetry_space_group_name_Hall '-R 3 2"'
_cell_length_a 3.1832
_cell_length_b 3.1832
_cell_length_c 27.8536
_cell_angle_alpha 90.00
_cell_angle_beta 90.00
_cell_angle_gamma 120.00
loop_
_atom_site_label
_atom_site_fract_x
_atom_site_fract_y
_atom_site_fract_z
Gd1 0.0000 0.0000 0.0000
Ni1 0.0000 0.0000 0.5000
Ge1 0.0000 0.0000 0.1068
```

Results
As for the total energy: -7.163 eV per atom. Its volume is 244.4 Å³/cell. Its density of states at the Fermi level is 10.47 states/eV/cell. The value obtained for the formation energy is 111 meV per atom.

Below is a geometry-optimized TbGdNiGe structure, with properties calculated at the PBE level.

```
data_TbGdNiGe
_chemical_formula_sum 'Tb4 Gd4 Ni4 Ge4'
_symmetry_space_group_name_H-M 'F -4 3 m'
_symmetry_Int_Tables_number 216
_symmetry_space_group_name_Hall 'F -4 2 3'
_cell_length_a 7.020
_cell_length_b 7.020
_cell_length_c 7.020
_cell_angle_alpha 90.00
_cell_angle_beta 90.00
_cell_angle_gamma 90.00
loop_
_atom_site_label
_atom_site_fract_x
_atom_site_fract_y
_atom_site_fract_z
Tb1 0.000 0.000 0.000
Gd1 0.000 0.000 0.500
Ni1 0.250 0.250 0.250
Ge1 0.250 0.250 0.750
```

Results
As for the total energy: -7.804 eV per atom. Its volume is 345.9 Å³/cell. Its density of states at the Fermi level is 5.81 states/eV/cell. The value obtained for the formation energy is -527 meV per atom.

Below is a geometry-optimized GdYNiGe structure, with properties calculated at the PBE level.

```
data_GdYNiGe
_chemical_formula_sum 'Gd4 Y4 Ni4 Ge4'
_symmetry_space_group_name_H-M 'F -4 3 m'
_symmetry_Int_Tables_number 216
_symmetry_space_group_name_Hall 'F -4 2 3'
_cell_length_a 7.014
_cell_length_b 7.014
_cell_length_c 7.014
_cell_angle_alpha 90.00
_cell_angle_beta 90.00
_cell_angle_gamma 90.00
loop_
_atom_site_label
_atom_site_fract_x
_atom_site_fract_y
_atom_site_fract_z
Gd1 0.000 0.000 0.000
Y1 0.000 0.000 0.500
Ni1 0.250 0.250 0.250
Ge1 0.250 0.250 0.750
```

Results
As for the total energy: -8.270 eV per atom. Its volume is 345.1 Å³/cell. Its density of states at the Fermi level is 5.49 states/eV/cell. The value obtained for the formation energy is -535 meV per atom.

Below is a geometry-optimized Gd2GeO structure, with properties calculated at the PBE level.

```
data_Gd2GeO
_chemical_formula_sum 'Gd6 Ge3 O3'
_symmetry_space_group_name_H-M 'R -3 m'
_symmetry_Int_Tables_number 166
_symmetry_space_group_name_Hall '-R 3 2"'
_cell_length_a 3.6406
_cell_length_b 3.6406
_cell_length_c 20.6846
_cell_angle_alpha 90.00
_cell_angle_beta 90.00
_cell_angle_gamma 120.00
loop_
_atom_site_label
_atom_site_fract_x
_atom_site_fract_y
_atom_site_fract_z
Gd1 0.0000 0.0000 0.2330
Ge1 0.0000 0.0000 0.0000
O1 0.0000 0.0000 0.5000
```

Results
As for the total energy: -11.103 eV per atom. Its volume is 237.4 Å³/cell. Its density of states at the Fermi level is 9.90 states/eV/cell. For the uncorrected formation energy, the calculation gives -1.67 eV/atom.